(1)
Below is an optimized crystal structure of CsRbCd2, with properties calculated at the PBE level.

Cell and atoms, written as POSCAR:
```
CsRbCd2
1.0
7.073 0.000 0.000
-0.452 7.115 0.000
-1.858 -1.859 7.072
Cs Rb Cd
2 2 4
direct
0.204 0.344 0.345 Cs
0.796 0.656 0.655 Cs
0.340 0.752 0.018 Rb
0.660 0.248 0.982 Rb
0.092 0.179 0.762 Cd
0.308 0.910 0.536 Cd
0.692 0.090 0.464 Cd
0.908 0.821 0.238 Cd
```

Computed properties:
Calculated density (g/cm3): 4.1
DFT total energy (hartree per atom): -0.035
Energy above the most stable polymorph in this dataset (kJ/mol of formula units): 8.0



(2)
Below is an optimized crystal structure of CsRbCd, with properties calculated at the PBE level.

Cell and atoms, written as POSCAR:
```
CsRbCd
1.0
0.000 4.651 4.651
4.651 0.000 4.651
4.651 4.651 0.000
Cs Rb Cd
1 1 1
direct
0.000 0.000 0.000 Cs
0.750 0.750 0.750 Rb
0.500 0.500 0.500 Cd
```

Computed properties:
Calculated density (g/cm3): 2.7
DFT total energy (hartree per atom): -0.027
Energy above the most stable polymorph in this dataset (kJ/mol of formula units): 0.0



Which formula does entry 2 have? CsRbCd